(1)
## PmGa6Pt (PBE)

Data for PmGa6Pt after structural relaxation.

extended XYZ file:
```
8
Lattice="4.331 0.000 0.000 0.000 4.331 0.000 0.000 0.000 8.176" Properties=species:S:1:pos:R:3 pbc="T T T"
Pm 0.000 0.000 0.000
Ga 0.000 2.166 2.675
Ga 0.000 2.166 5.501
Ga 2.166 0.000 2.675
Ga 2.166 0.000 5.501
Ga 2.166 2.166 1.203
Ga 2.166 2.166 6.972
Pt 0.000 0.000 4.088
```

- Crystal system: tetragonal

=====

(2)
## Pm2Ga5Pt4 (PBE)

Data for Pm2Ga5Pt4 after structural relaxation.

extended XYZ file:
```
11
Lattice="0.000 4.692 8.142 2.757 0.000 8.142 2.757 4.692 0.000" Properties=species:S:1:pos:R:3 pbc="T T T"
Pm 2.757 4.692 2.104
Pm 2.757 4.692 14.179
Ga 1.378 2.346 0.000
Ga 1.378 2.346 4.071
Ga 1.378 2.346 8.142
Ga 2.757 4.692 8.142
Ga 4.135 7.038 12.212
Pt 2.757 3.222 6.000
Pt 2.757 3.222 10.284
Pt 2.757 6.162 6.000
Pt 2.757 6.162 10.284
```

- Crystal system: orthorhombic

=====

(3)
## Pm2Ga4Pt3 (PBE)

Data for Pm2Ga4Pt3 after structural relaxation.

extended XYZ file:
```
18
Lattice="2.904 -7.656 0.000 2.904 7.656 0.000 0.000 0.000 7.662" Properties=species:S:1:pos:R:3 pbc="T T T"
Pm 2.904 5.928 6.983
Pm 2.904 1.728 3.152
Pm 2.904 -1.728 4.510
Pm 2.904 -5.928 0.679
Ga 2.904 4.923 3.997
Ga 1.452 0.885 5.746
Ga 1.452 -0.885 1.915
Ga 2.904 2.733 0.166
Ga 2.904 -2.733 7.496
Ga 4.356 0.885 5.746
Ga 4.356 -0.885 1.915
Ga 2.904 -4.923 3.665
Pt 0.000 0.000 3.831
Pt 1.452 3.483 5.746
Pt 1.452 -3.483 1.915
Pt 2.904 0.000 0.000
Pt 4.356 3.483 5.746
Pt 4.356 -3.483 1.915
```

- Crystal system: orthorhombic

=====

no.,magnetization (μB per formula unit),formation energy (eV per atom)
1,0.000,-0.519
2,0.000,-0.850
3,0.000,-0.896